No. 1
An optimized crystal structure of DyHo2FeSn3Ir2. Source: OQMD via LeMat-Bulk, functional PBE-GGA.

Properties
- E_tot (eV per atom) = -6.446

a = 3.735 Å, b = 7.603 Å, c = 7.603 Å
α = 120.05°, β = 90.00°, γ = 90.00°
Sites, in units of the cell vectors:
Fe  0.000  0.000  0.000
Ho  0.000  0.000  0.592
Ho  0.000  0.592  0.000
Sn  0.500  0.000  0.258
Sn  0.500  0.258  0.000
Sn  0.500  0.742  0.742
Dy  0.000  0.408  0.408
Ir  0.500  0.667  0.333
Ir  0.500  0.333  0.667

***

No. 2
An optimized crystal structure of TmNbOs. Source: OQMD via LeMat-Bulk, functional PBE-GGA.

Properties
- ΔE_f (meV/atom) = 488

a = 4.478 Å, b = 4.478 Å, c = 4.478 Å
α = 60.00°, β = 60.00°, γ = 60.00°
Sites, in units of the cell vectors:
Nb  0.000  0.000  0.000
Os  0.250  0.250  0.250
Tm  0.750  0.750  0.750

***

No. 3
An optimized crystal structure of SrHoCuTe3. Source: OQMD via LeMat-Bulk, functional PBE-GGA.

Properties
- E_tot (eV per atom) = -4.415

a = 8.471 Å, b = 4.297 Å, c = 10.475 Å
α = 90.00°, β = 105.83°, γ = 90.00°
Sites, in units of the cell vectors:
Cu  0.924  0.750  0.412
Cu  0.076  0.250  0.588
Te  0.943  0.750  0.161
Te  0.571  0.250  0.854
Te  0.751  0.250  0.458
Te  0.057  0.250  0.839
Te  0.249  0.750  0.542
Te  0.429  0.750  0.146
Sr  0.240  0.250  0.298
Sr  0.760  0.750  0.702
Ho  0.693  0.250  0.160
Ho  0.307  0.750  0.840

***

No. 4
An optimized crystal structure of Gd2Ho2CI5. Source: OQMD via LeMat-Bulk, functional PBE-GGA.

Properties
- E_tot (eV per atom) = -4.644

a = 10.778 Å, b = 10.778 Å, c = 8.615 Å
α = 101.30°, β = 101.30°, γ = 21.34°
Sites, in units of the cell vectors:
Gd  0.000  0.000  0.192
Gd  0.000  0.000  0.808
I  0.848  0.848  0.177
I  0.151  0.151  0.327
I  0.500  0.500  0.500
I  0.152  0.152  0.823
I  0.849  0.849  0.673
Ho  0.386  0.386  0.943
Ho  0.614  0.614  0.057
C  0.500  0.500  0.000

***

No. 5
An optimized crystal structure of TbMg5Cd2. Source: OQMD via LeMat-Bulk, functional PBE-GGA.

Properties
- E_tot (eV per atom) = -1.871

a = 5.008 Å, b = 6.689 Å, c = 6.689 Å
α = 55.75°, β = 90.00°, γ = 90.00°
Sites, in units of the cell vectors:
Cd  0.500  0.342  0.342
Cd  0.000  0.654  0.654
Mg  0.500  0.826  0.323
Mg  0.500  0.812  0.812
Mg  0.000  0.682  0.175
Mg  0.500  0.323  0.826
Mg  0.000  0.175  0.682
Tb  0.000  0.186  0.186

***

No. 6
An optimized crystal structure of HoErGa. Source: OQMD via LeMat-Bulk, functional PBE-GGA.

Properties
- E_tot (eV per atom) = -4.309

a = 4.921 Å, b = 4.921 Å, c = 4.921 Å
α = 60.00°, β = 60.00°, γ = 60.00°
Sites, in units of the cell vectors:
Ga  0.000  0.000  0.000
Er  0.250  0.250  0.250
Ho  0.750  0.750  0.750

***

No. 7
An optimized crystal structure of ZrI2Cl2. Source: OQMD via LeMat-Bulk, functional PBE-GGA.

Properties
- E_tot (eV per atom) = -4.393

a = 7.222 Å, b = 7.880 Å, c = 7.084 Å
α = 90.00°, β = 109.39°, γ = 90.00°
Sites, in units of the cell vectors:
I  0.763  0.878  0.003
I  0.237  0.878  0.497
I  0.763  0.122  0.503
I  0.237  0.122  0.997
Zr  0.000  0.175  0.250
Zr  0.000  0.825  0.750
Cl  0.769  0.363  0.041
Cl  0.769  0.637  0.541
Cl  0.231  0.363  0.459
Cl  0.231  0.637  0.959

***

No. 8
An optimized crystal structure of YAlW. Source: OQMD via LeMat-Bulk, functional PBE-GGA.

Properties
- E_tot (eV per atom) = -6.277

a = 4.776 Å, b = 4.776 Å, c = 4.776 Å
α = 60.00°, β = 60.00°, γ = 60.00°
Sites, in units of the cell vectors:
W  0.250  0.250  0.250
Y  0.500  0.500  0.500
Al  0.750  0.750  0.750

***

No. 9
An optimized crystal structure of Rb3Re3S4I4. Source: OQMD via LeMat-Bulk, functional PBE-GGA.

Properties
- E_tot (eV per atom) = -5.439

a = 11.238 Å, b = 11.238 Å, c = 11.238 Å
α = 60.00°, β = 60.00°, γ = 60.00°
Sites, in units of the cell vectors:
S  0.392  0.392  0.823
S  0.392  0.392  0.392
S  0.823  0.392  0.392
S  0.608  0.608  0.608
S  0.608  0.177  0.608
S  0.608  0.608  0.177
S  0.392  0.823  0.392
S  0.177  0.608  0.608
I  0.250  0.250  0.250
I  0.208  0.208  0.792
I  0.792  0.208  0.208
I  0.750  0.750  0.750
I  0.792  0.792  0.208
I  0.208  0.792  0.792
I  0.208  0.792  0.208
I  0.792  0.208  0.792
Rb  0.500  0.000  0.000
Rb  0.000  0.000  0.500
Rb  0.500  0.500  0.000
Rb  0.000  0.500  0.000
Rb  0.000  0.500  0.500
Rb  0.500  0.000  0.500
Re  0.616  0.616  0.384
Re  0.384  0.384  0.616
Re  0.384  0.616  0.384
Re  0.384  0.616  0.616
Re  0.616  0.384  0.384
Re  0.616  0.384  0.616

***

No. 10
An optimized crystal structure of TbGd2Mg3Al2In. Source: OQMD via LeMat-Bulk, functional PBE-GGA.

Properties
- E_tot (eV per atom) = -3.551

a = 4.619 Å, b = 7.433 Å, c = 7.433 Å
α = 119.90°, β = 90.00°, γ = 90.00°
Sites, in units of the cell vectors:
Gd  0.000  0.437  0.000
Gd  0.000  0.000  0.437
Tb  0.000  0.563  0.563
Mg  0.500  0.000  0.754
Mg  0.500  0.754  0.000
Mg  0.500  0.246  0.246
In  0.000  0.999  0.999
Al  0.500  0.334  0.666
Al  0.500  0.666  0.334

***

No. 11
An optimized crystal structure of ReNi5. Source: OQMD via LeMat-Bulk, functional PBE-GGA.

Properties
- ΔE_f (meV/atom) = 236

a = 4.587 Å, b = 4.587 Å, c = 15.903 Å
α = 90.00°, β = 90.00°, γ = 120.00°
Sites, in units of the cell vectors:
Re  0.667  0.333  0.627
Re  0.333  0.667  0.373
Re  0.667  0.333  0.873
Re  0.333  0.667  0.127
Ni  0.675  0.838  0.250
Ni  0.500  0.000  0.500
Ni  0.500  0.500  0.500
Ni  0.500  0.000  0.000
Ni  0.333  0.667  0.645
Ni  0.667  0.333  0.145
Ni  0.000  0.500  0.500
Ni  0.000  0.000  0.902
Ni  0.162  0.325  0.250
Ni  0.838  0.162  0.750
Ni  0.000  0.000  0.598
Ni  0.667  0.333  0.355
Ni  0.500  0.500  0.000
Ni  0.333  0.667  0.855
Ni  0.000  0.500  0.000
Ni  0.838  0.675  0.750
Ni  0.000  0.000  0.098
Ni  0.000  0.000  0.402
Ni  0.325  0.162  0.750
Ni  0.162  0.838  0.250

***

No. 12
An optimized crystal structure of TbDy2In3Ag2Au. Source: OQMD via LeMat-Bulk, functional PBE-GGA.

Properties
- E_tot (eV per atom) = -3.960

a = 3.945 Å, b = 7.843 Å, c = 7.843 Å
α = 120.04°, β = 90.00°, γ = 90.00°
Sites, in units of the cell vectors:
In  0.500  0.000  0.265
In  0.500  0.735  0.735
In  0.500  0.265  0.000
Dy  0.000  0.000  0.600
Dy  0.000  0.600  0.000
Au  0.000  0.000  0.000
Tb  0.000  0.400  0.400
Ag  0.500  0.667  0.333
Ag  0.500  0.333  0.667